Record 1
# DyHoBi2

An optimized crystal structure of DyHoBi2 (PBE, the Alexandria database).

Summary:
**Calculated total energy**: -19.933 eV/cell
**Calculated formation energy**: -0.7477 eV per atom

Cell: 4.432 4.432 7.990 Å, 73.90 73.90 60.00°
Atoms (fractional coordinates):
1 Bi 0.252 0.252 0.245
2 Dy 0.498 0.498 0.505
3 Bi 0.081 0.081 0.756
4 Ho 0.669 0.669 0.994

Record 2
# NaZn3Ga

An optimized crystal structure of NaZn3Ga (PBE, the Alexandria database).

Summary:
**Calculated total energy**: -4.464 eV/cell
**Calculated formation energy**: 0.7407 eV per atom

Cell: 5.189 5.189 5.189 Å, 90.00 90.00 90.00°
Atoms (fractional coordinates):
1 Zn 0.500 0.000 0.000
2 Ga 0.500 0.500 0.500
3 Zn 0.000 0.000 0.500
4 Zn 0.000 0.500 0.000
5 Na 0.000 0.000 0.000

Record 3
# CePm3Nd2S6

An optimized crystal structure of CePm3Nd2S6 (PBE, the Alexandria database).

Summary:
**Calculated total energy**: -78.953 eV/cell
**Uncorrected formation energy**: -2.0389 eV per atom

Cell: 7.003 7.003 7.011 Å, 99.61 99.61 120.08°
Each line ends with the local moment (μB).
Atoms (fractional coordinates):
1 S 0.586 0.916 0.749  0.00
2 Ce 0.000 0.000 0.000  0.56
3 S 0.916 0.586 0.749  0.00
4 Pm 0.170 0.830 0.500  0.00
5 Pm 0.500 0.500 0.500  0.01
6 Nd 0.667 0.333 0.000  0.01
7 Nd 0.333 0.667 0.000  0.01
8 S 0.754 0.754 0.253  0.00
9 Pm 0.830 0.170 0.500  0.00
10 S 0.414 0.084 0.251  0.00
11 S 0.084 0.414 0.251  0.00
12 S 0.246 0.246 0.747  0.00

Record 4
# MnZn2Ag

An optimized crystal structure of MnZn2Ag (PBE, the Alexandria database).

Summary:
**Calculated total energy**: -14.269 eV/cell
**Calculated formation energy**: 0.0750 eV per atom

Cell: 4.221 2.843 5.333 Å, 74.81 90.00 90.00°
Each line ends with the local moment (μB).
Atoms (fractional coordinates):
1 Mn 0.500 0.792 0.789  3.60
2 Ag 0.000 0.453 0.472  0.00
3 Zn 0.500 0.058 0.258  -0.04
4 Zn 0.000 0.197 0.981  -0.05

Record 5
# TaReSi2

An optimized crystal structure of TaReSi2 (PBE, the Alexandria database).

Summary:
**Calculated total energy**: -34.521 eV/cell
**Uncorrected formation energy**: 0.1565 eV per atom

Cell: 2.754 2.754 8.487 Å, 90.00 90.00 107.69°
Atoms (fractional coordinates):
1 Si 0.000 0.000 0.995
2 Ta 0.000 0.000 0.495
3 Re 0.500 0.500 0.759
4 Si 0.500 0.500 0.250

Record 6
# Fe2Re3

An optimized crystal structure of Fe2Re3 (PBE, the Alexandria database).

Summary:
**Calculated total energy**: -107.135 eV/cell
**Calculated formation energy**: 0.1405 eV per atom

Cell: 7.824 6.748 5.125 Å, 81.20 58.46 40.34°
Atoms (fractional coordinates):
1 Fe 0.706 0.884 0.352
2 Re 0.502 0.789 0.896
3 Fe 0.058 0.352 0.884
4 Re 0.461 0.748 0.437
5 Re 0.813 0.896 0.789
6 Fe 0.898 0.192 0.544
7 Re 0.354 0.437 0.748
8 Re 0.921 0.079 0.079
9 Re 0.171 0.329 0.329
10 Fe 0.366 0.544 0.192

Record 7
# CsZnPPt2

An optimized crystal structure of CsZnPPt2 (PBE, the Alexandria database).

Summary:
**Calculated total energy**: -16.650 eV/cell
**Calculated formation energy**: 0.5937 eV per atom

Cell: 5.004 4.701 5.004 Å, 90.00 90.00 90.00°
Atoms (fractional coordinates):
1 Pt 0.000 0.000 0.500
2 Zn 0.000 0.000 0.000
3 Cs 0.500 0.500 0.500
4 Pt 0.500 0.000 0.000
5 P 0.000 0.500 0.000

Record 8
# CuSbPd3

An optimized crystal structure of CuSbPd3 (PBE, the Alexandria database).

Summary:
**Calculated total energy**: -21.517 eV/cell
**Uncorrected formation energy**: 0.4561 eV per atom

Cell: 4.606 4.606 4.606 Å, 90.00 90.00 90.00°
Atoms (fractional coordinates):
1 Pd 0.500 0.000 0.000
2 Cu 0.000 0.000 0.000
3 Pd 0.000 0.500 0.000
4 Pd 0.000 0.000 0.500
5 Sb 0.500 0.500 0.500

Record 9
# CrTc3

An optimized crystal structure of CrTc3 (PBE, the Alexandria database).

Summary:
**Calculated total energy**: -40.373 eV/cell
**Calculated formation energy**: 0.0872 eV per atom

Cell: 4.452 5.068 2.908 Å, 73.33 90.00 116.05°
Atoms (fractional coordinates):
1 Tc 0.648 0.545 0.728
2 Cr 0.967 0.000 0.000
3 Tc 0.450 0.000 0.500
4 Tc 0.103 0.455 0.272

Record 10
# BaTmPd2

An optimized crystal structure of BaTmPd2 (PBE, the Alexandria database).

Summary:
**Calculated total energy**: -19.638 eV/cell
**Calculated formation energy**: -0.7144 eV per atom

Cell: 3.606 3.606 7.643 Å, 90.00 90.00 90.00°
Atoms (fractional coordinates):
1 Tm 0.500 0.500 0.000
2 Pd 0.000 0.000 0.194
3 Pd 0.000 0.000 0.806
4 Ba 0.500 0.500 0.500

Record 11
# HfMg2Cl2

An optimized crystal structure of HfMg2Cl2 (PBE, the Alexandria database).

Summary:
**Calculated total energy**: -17.497 eV/cell
**Uncorrected formation energy**: -0.1322 eV per atom

Cell: 4.182 4.182 7.394 Å, 73.57 73.57 90.00°
Atoms (fractional coordinates):
1 Cl 0.250 0.750 0.500
2 Cl 0.750 0.250 0.500
3 Mg 0.631 0.631 0.737
4 Hf 0.000 0.000 0.000
5 Mg 0.369 0.369 0.263

Record 12
# KCdGe2Pt

An optimized crystal structure of KCdGe2Pt (PBE, the Alexandria database).

Summary:
**Calculated total energy**: -14.526 eV/cell
**Calculated formation energy**: 0.5524 eV per atom

Cell: 5.186 5.242 5.186 Å, 90.00 90.00 90.00°
Atoms (fractional coordinates):
1 Ge 0.500 0.000 0.000
2 Cd 0.000 0.000 0.000
3 Ge 0.000 0.000 0.500
4 K 0.500 0.500 0.500
5 Pt 0.000 0.500 0.000

Record 13
# LaBeCuGe2

An optimized crystal structure of LaBeCuGe2 (PBE, the Alexandria database).

Summary:
**Calculated total energy**: -24.309 eV/cell
**Calculated formation energy**: -0.4649 eV per atom

Cell: 4.176 4.176 5.886 Å, 110.78 110.78 90.00°
Atoms (fractional coordinates):
1 Be 0.750 0.250 0.500
2 La 0.000 0.000 0.000
3 Ge 0.627 0.627 0.255
4 Ge 0.373 0.373 0.745
5 Cu 0.250 0.750 0.500

Record 14
# Ba8Ir2F

An optimized crystal structure of Ba8Ir2F (PBE, the Alexandria database).

Summary:
**Calculated total energy**: -39.464 eV/cell
**Uncorrected formation energy**: -0.4081 eV per atom

Cell: 6.366 9.893 9.893 Å, 64.26 87.78 87.78°
Atoms (fractional coordinates):
1 Ba 0.746 0.787 0.787
2 Ir 0.743 0.216 0.216
3 Ba 0.254 0.213 0.213
4 Ba 0.222 0.724 0.098
5 Ba 0.222 0.098 0.724
6 F 0.000 0.000 0.000
7 Ba 0.778 0.902 0.276
8 Ba 0.738 0.393 0.393
9 Ir 0.257 0.784 0.784
10 Ba 0.778 0.276 0.902
11 Ba 0.262 0.607 0.607

Record 15
# Y2Ho4N

An optimized crystal structure of Y2Ho4N (PBE, the Alexandria database).

Summary:
**Calculated total energy**: -41.588 eV/cell
**Uncorrected formation energy**: -0.2891 eV per atom

Cell: 4.756 4.756 9.436 Å, 75.40 75.40 90.00°
Atoms (fractional coordinates):
1 N 0.000 0.000 0.000
2 Ho 0.868 0.868 0.264
3 Ho 0.132 0.132 0.736
4 Y 0.330 0.330 0.340
5 Ho 0.000 0.500 0.000
6 Y 0.670 0.670 0.660
7 Ho 0.500 0.000 0.000

Record 16
# K2SmAgCl6

An optimized crystal structure of K2SmAgCl6 (PBE, the Alexandria database).

Summary:
**Calculated total energy**: -38.434 eV/cell
**Uncorrected formation energy**: -1.7589 eV per atom

Cell: 7.651 7.651 7.651 Å, 60.00 60.00 60.00°
Atoms (fractional coordinates):
1 Cl 0.752 0.248 0.248
2 K 0.250 0.250 0.250
3 Cl 0.752 0.752 0.248
4 Cl 0.248 0.752 0.248
5 Cl 0.248 0.248 0.752
6 Sm 0.000 0.000 0.000
7 Cl 0.248 0.752 0.752
8 Cl 0.752 0.248 0.752
9 K 0.750 0.750 0.750
10 Ag 0.500 0.500 0.500

Record 17
# La2CeEr6

An optimized crystal structure of La2CeEr6 (PBE, the Alexandria database).

Summary:
**Calculated total energy**: -83.853 eV/cell
**Calculated formation energy**: 0.1377 eV per atom

Cell: 9.476 9.476 6.562 Å, 83.25 83.25 94.42°
Atoms (fractional coordinates):
1 Er 0.672 0.277 0.996
2 Er 0.216 0.046 0.191
3 Er 0.951 0.546 0.756
4 Er 0.954 0.784 0.309
5 Ce 0.884 0.116 0.250
6 Er 0.328 0.723 0.004
7 Er 0.784 0.954 0.809
8 La 0.329 0.391 0.874
9 Er 0.277 0.672 0.496
10 La 0.671 0.609 0.126
11 La 0.609 0.671 0.626
12 Er 0.046 0.216 0.691
13 La 0.391 0.329 0.374
14 Er 0.723 0.328 0.504
15 Er 0.546 0.951 0.256
16 Er 0.049 0.454 0.244
17 Ce 0.116 0.884 0.750
18 Er 0.454 0.049 0.744

Record 18
# MgSc2

An optimized crystal structure of MgSc2 (PBE, the Alexandria database).

Summary:
**Calculated total energy**: -27.226 eV/cell
**Calculated formation energy**: 0.2148 eV per atom

Cell: 5.968 5.968 5.968 Å, 60.00 60.00 60.00°
Atoms (fractional coordinates):
1 Sc 0.125 0.125 0.625
2 Mg 0.500 0.500 0.500
3 Sc 0.125 0.625 0.125
4 Sc 0.125 0.125 0.125
5 Sc 0.625 0.125 0.125
6 Mg 0.750 0.750 0.750

Record 19
# Na3Mg2Cd2Bi4

An optimized crystal structure of Na3Mg2Cd2Bi4 (PBE, the Alexandria database).

Summary:
**Calculated total energy**: -27.066 eV/cell
**Calculated formation energy**: -0.2333 eV per atom

Cell: 4.898 4.898 16.051 Å, 90.00 90.00 120.00°
Atoms (fractional coordinates):
1 Na 0.000 0.000 0.727
2 Bi 0.333 0.667 0.881
3 Bi 0.667 0.333 0.623
4 Bi 0.667 0.333 0.119
5 Mg 0.667 0.333 0.434
6 Na 0.000 0.000 0.000
7 Cd 0.333 0.667 0.176
8 Na 0.000 0.000 0.273
9 Cd 0.667 0.333 0.824
10 Bi 0.333 0.667 0.377
11 Mg 0.333 0.667 0.566

Record 20
# CsV

An optimized crystal structure of CsV (PBE, the Alexandria database).

Summary:
**Calculated total energy**: -60.686 eV/cell
**Calculated formation energy**: 1.1932 eV per atom

Cell: 10.908 10.908 10.908 Å, 90.00 90.00 90.00°
Atoms (fractional coordinates):
1 V 0.427 0.573 0.427
2 Cs 0.217 0.217 0.783
3 Cs 0.717 0.283 0.717
4 V 0.073 0.927 0.927
5 Cs 0.283 0.717 0.717
6 V 0.573 0.573 0.573
7 V 0.073 0.073 0.073
8 V 0.573 0.427 0.427
9 Cs 0.717 0.717 0.283
10 V 0.927 0.927 0.073
11 Cs 0.783 0.217 0.217
12 V 0.927 0.073 0.927
13 Cs 0.283 0.283 0.283
14 Cs 0.217 0.783 0.217
15 Cs 0.783 0.783 0.783
16 V 0.427 0.427 0.573